A relaxed structure of Li3Ga6Cu. Source: the Alexandria database, functional PBE-GGA.

abc: 7.138 7.138 7.138
angles: 80.17 80.17 80.17
Positions (direct):
Ga (0.122, 0.565, 0.619)
Ga (0.011, 0.915, 0.672)
Ga (0.085, 0.328, 0.989)
Ga (0.381, 0.878, 0.435)
Ga (0.619, 0.122, 0.565)
Ga (0.878, 0.435, 0.381)
Ga (0.435, 0.381, 0.878)
Ga (0.565, 0.619, 0.122)
Ga (0.915, 0.672, 0.011)
Ga (0.328, 0.989, 0.085)
Ga (0.672, 0.011, 0.915)
Ga (0.989, 0.085, 0.328)
Li (0.610, 0.221, 0.201)
Li (0.779, 0.799, 0.390)
Li (0.201, 0.610, 0.221)
Li (0.221, 0.201, 0.610)
Li (0.799, 0.390, 0.779)
Li (0.390, 0.779, 0.799)
Cu (0.000, 0.000, 0.000)
Cu (0.500, 0.500, 0.500)

Summary:
Formation enthalpy at 0 K (eV/atom): -0.14
Raw total energy (eV/cell): -58.8
M_tot (Bohr magnetons per cell): 0.00